i | This record from Alexandria via LeMat-Bulk describes crystalline La4P2Se at its relaxed geometry. The functional is PBE.

Properties
D(E_F), states/eV/cell: 7.123
Total magnetic moment, Bohr magnetons per cell: 0.0

Structure (POSCAR):
```
La4P2Se
1.0
-0.0639 5.1106 -2.2144
-0.3561 -2.2138 -5.0989
-7.7049 1.5605 -3.1818
La Se P
4 1 2
direct
0.7944 0.7944 0.4112
0.0000 0.5000 0.0000
0.2056 0.2056 0.5888
0.5000 0.0000 0.0000
0.0000 0.0000 0.0000
0.6131 0.6131 0.7738
0.3869 0.3869 0.2262
```

---

ii | This record from Alexandria via LeMat-Bulk describes crystalline La4P2Se at its relaxed geometry. The functional is PBE.

Properties
D(E_F), states/eV/cell: 5.353
Total magnetic moment, Bohr magnetons per cell: 1.6

Structure (POSCAR):
```
La4P2Se
1.0
4.1737 0.0000 0.6065
2.0428 3.6396 0.6065
0.0736 0.0431 14.1583
P Se La
2 1 4
direct
0.5807 0.5807 0.2579
0.4193 0.4193 0.7421
0.0000 0.0000 0.0000
0.2875 0.2875 0.1376
0.8749 0.8749 0.3754
0.7125 0.7125 0.8624
0.1251 0.1251 0.6246
```

---

From most stable to least stable, the computed energies give ii, i.